(1)
# VFeC3

Crystalline VFeC3 at its relaxed geometry (GGA-PBE, Alexandria).

It has space group Pm-3m (No. 221), with a = 3.8567 Å, b = 3.8567 Å, c = 3.8567 Å, α = 90.00°, β = 90.00° and γ = 90.00°. The distinct sites, in fractional coordinates, are V at (0.0000, 0.0000, 0.0000), Fe at (0.5000, 0.5000, 0.5000) and C at (0.0000, 0.0000, 0.5000).

The value obtained for the calculated volume is 11.5 A^3/atom.

=====

(2)
# V6FeC

Crystalline V6FeC at its relaxed geometry (GGA-PBE, Alexandria).

It has space group P-1 (No. 2), with a = 4.3748 Å, b = 4.8652 Å, c = 4.9920 Å, α = 96.10°, β = 111.48° and γ = 90.74°. The distinct sites, in fractional coordinates, are V at (0.0620, 0.2876, 0.1467), V at (0.2084, 0.8527, 0.4405), V at (0.4234, 0.3982, 0.7512), Fe at (0.5000, 0.0000, 0.0000) and C at (0.0000, 0.5000, 0.5000).

The value obtained for the calculated volume is 12.3 A^3/atom.

=====

(3)
# V4FeC

Crystalline V4FeC at its relaxed geometry (GGA-PBE, Alexandria).

It has space group P2_1/c (No. 14), with a = 5.2180 Å, b = 4.8816 Å, c = 5.8890 Å, α = 90.00°, β = 102.99° and γ = 90.00°. The distinct sites, in fractional coordinates, are V at (0.1021, 0.1554, 0.2012), V at (0.3603, 0.6118, 0.1259), Fe at (0.5000, 0.0000, 0.0000) and C at (0.0000, 0.0000, 0.5000).

The value obtained for the calculated volume is 12.2 A^3/atom.

=====

(4)
# V2FeC

Crystalline V2FeC at its relaxed geometry (GGA-PBE, Alexandria).

It has space group I-42d (No. 122), with a = 6.9598 Å, b = 6.9598 Å, c = 3.8554 Å, α = 90.00°, β = 90.00° and γ = 90.00°. The distinct sites, in fractional coordinates, are V at (0.1225, 0.2500, 0.1250), Fe at (0.0000, 0.0000, 0.5000) and C at (0.0000, 0.0000, 0.0000).

The value obtained for the calculated volume is 11.7 A^3/atom.

=====

Number 1: ΔE_f 1.89 eV per atom. Number 2: ΔE_f -0.13 eV per atom. Number 3: ΔE_f -0.04 eV per atom. Number 4: ΔE_f 0.07 eV per atom.